Record 1
A geometry-optimized HfTlCoOs structure, computed with PBE.

Properties
The excess energy over the best structure of this formula in the dataset is 0 meV per atom.

Cell lengths 4.548, 4.548, 4.548 Å; angles 60.00, 60.00, 60.00 degrees
Atoms (fractional coordinates):
Hf  0.500  0.500  0.500
Tl  0.000  0.000  0.000
Os  0.250  0.250  0.250
Co  0.750  0.750  0.750


Record 2
A geometry-optimized LaIrPb2O6 structure, computed with PBE.

Properties
The total DFT energy (no corrections) comes out at -66.22 eV/f.u.

Cell lengths 5.848, 5.848, 6.072 Å; angles 119.05, 119.05, 60.71 degrees
Atoms (fractional coordinates):
Ir  0.500  0.500  0.000
O  0.279  0.279  0.684
O  0.329  0.797  0.839
O  0.203  0.671  0.161
O  0.797  0.329  0.839
O  0.671  0.203  0.161
O  0.721  0.721  0.316
Pb  0.244  0.244  0.215
Pb  0.756  0.756  0.785
La  0.000  0.000  0.500


Record 3
A geometry-optimized Te2PdAu2F2 structure, computed with PBE.

Properties
The total DFT energy (no corrections) comes out at -24.84 eV/f.u.

Cell lengths 4.087, 4.087, 7.485 Å; angles 90.00, 90.00, 90.00 degrees
Atoms (fractional coordinates):
Au  0.000  0.500  0.737
Au  0.500  0.000  0.263
F  0.000  0.000  0.000
F  0.500  0.500  0.000
Te  0.500  0.000  0.751
Te  0.000  0.500  0.249
Pd  0.500  0.500  0.500


Record 4
A geometry-optimized Zr2Sc4Sn3N3 structure, computed with PBE.

Properties
The total DFT energy (no corrections) comes out at -94.29 eV/f.u.

Cell lengths 5.736, 5.736, 14.821 Å; angles 101.09, 101.09, 60.03 degrees
Atoms (fractional coordinates):
Sc  0.694  0.863  0.082
Sc  0.029  0.192  0.082
Sc  0.306  0.137  0.918
Sc  0.137  0.306  0.418
Sc  0.808  0.971  0.418
Sc  0.971  0.808  0.918
Sc  0.863  0.694  0.582
Sc  0.192  0.029  0.582
Zr  0.360  0.527  0.082
Zr  0.527  0.360  0.582
Zr  0.640  0.473  0.918
Zr  0.473  0.640  0.418
N  0.162  0.669  0.500
N  0.000  0.500  0.000
N  0.500  0.000  0.500
N  0.838  0.331  0.500
N  0.669  0.162  0.000
N  0.331  0.838  0.000
Sn  0.082  0.918  0.250
Sn  0.416  0.250  0.250
Sn  0.584  0.750  0.750
Sn  0.918  0.082  0.750
Sn  0.250  0.416  0.750
Sn  0.750  0.584  0.250


Record 5
A geometry-optimized DyLuCu2As4 structure, computed with PBE.

Properties
The total DFT energy (no corrections) comes out at -41.53 eV/f.u.

Cell lengths 3.886, 3.886, 9.777 Å; angles 90.00, 90.00, 90.00 degrees
Atoms (fractional coordinates):
Cu  0.500  0.000  0.502
Cu  0.000  0.500  0.502
As  0.500  0.000  0.996
As  0.000  0.000  0.666
As  0.500  0.500  0.339
As  0.000  0.500  0.996
Dy  0.000  0.000  0.235
Lu  0.500  0.500  0.763


Record 6
A geometry-optimized HoErSnB structure, computed with PBE.

Properties
The total DFT energy (no corrections) comes out at -20.87 eV/f.u.

Cell lengths 3.628, 3.628, 16.384 Å; angles 90.00, 90.00, 120.00 degrees
Atoms (fractional coordinates):
Er  0.667  0.333  0.657
Er  0.667  0.333  0.343
B  0.000  0.000  0.749
B  0.000  0.000  0.251
Sn  0.667  0.333  0.000
Sn  0.333  0.667  0.500
Ho  0.333  0.667  0.158
Ho  0.333  0.667  0.842


Record 7
A geometry-optimized Tm6FeBi2 structure, computed with PBE.

Properties
The total DFT energy (no corrections) comes out at -47.11 eV/f.u.

Cell lengths 8.212, 8.212, 4.124 Å; angles 90.00, 90.00, 120.00 degrees
Atoms (fractional coordinates):
Tm  0.613  0.613  0.500
Tm  0.000  0.387  0.500
Tm  0.231  0.231  0.000
Tm  0.769  0.000  0.000
Tm  0.000  0.769  0.000
Tm  0.387  0.000  0.500
Fe  0.000  0.000  0.500
Bi  0.333  0.667  0.000
Bi  0.667  0.333  0.000


Record 8
A geometry-optimized Ho2Tm2Ir3 structure, computed with PBE.

Properties
For the formation energy, the calculation gives -0.8744 eV/atom.

Cell lengths 4.748, 4.748, 8.301 Å; angles 106.55, 90.05, 119.97 degrees
Atoms (fractional coordinates):
Ho  0.875  0.749  0.624
Ho  0.125  0.251  0.376
Tm  0.376  0.751  0.127
Tm  0.624  0.249  0.873
Ir  0.750  0.499  0.248
Ir  0.250  0.501  0.752
Ir  0.000  0.000  0.000


Record 9
A geometry-optimized TmZn2Pd3 structure, computed with PBE.

Properties
For the formation energy, the calculation gives -0.7268 eV/atom.

Cell lengths 4.392, 4.392, 12.216 Å; angles 90.00, 90.00, 120.00 degrees
Atoms (fractional coordinates):
Zn  0.667  0.333  0.082
Zn  0.333  0.667  0.918
Zn  0.333  0.667  0.582
Zn  0.667  0.333  0.418
Pd  0.000  0.000  0.500
Pd  0.667  0.333  0.869
Pd  0.667  0.333  0.631
Pd  0.333  0.667  0.369
Pd  0.333  0.667  0.131
Pd  0.000  0.000  0.000
Tm  0.000  0.000  0.250
Tm  0.000  0.000  0.750


Record 10
A geometry-optimized Sn4Os3 structure, computed with PBE.

Properties
The total DFT energy (no corrections) comes out at -46.24 eV/f.u.

Cell lengths 14.945, 14.945, 14.945 Å; angles 12.32, 12.32, 12.32 degrees
Atoms (fractional coordinates):
Sn  0.363  0.363  0.363
Sn  0.213  0.213  0.213
Sn  0.787  0.787  0.787
Sn  0.637  0.637  0.637
Os  0.926  0.926  0.926
Os  0.074  0.074  0.074
Os  0.500  0.500  0.500


Record 11
A geometry-optimized RbGdF3 structure, computed with PBE.

Properties
The total DFT energy (no corrections) comes out at -26.21 eV/f.u.

Cell lengths 4.505, 4.505, 4.504 Å; angles 90.00, 90.00, 90.64 degrees
Atoms (fractional coordinates):
F  0.500  0.500  0.000
F  0.000  0.500  0.500
F  0.500  0.000  0.500
Rb  0.000  0.000  0.000
Gd  0.500  0.500  0.500


Record 12
A geometry-optimized ZrBeAg structure, computed with PBE.

Properties
The excess energy over the best structure of this formula in the dataset is 422 meV per atom.

Cell lengths 4.203, 4.203, 4.203 Å; angles 60.00, 60.00, 60.00 degrees
Atoms (fractional coordinates):
Zr  0.750  0.750  0.750
Ag  0.250  0.250  0.250
Be  0.000  0.000  0.000